Material: NbSCl2F
Method: DFT, PBE-GGA
State: optimized geometry

SG = P4/mmm, No. 123
Volume = 110.9 Å³/cell
ΔE_f (raw) = -716.2 meV per atom
Polymorph energy (0 for the lowest one) = 0.000 eV/atom

a b c (Å): 4.855 4.855 4.704
angles (deg): 90.00 90.00 90.00
Element x y z (fractional)
Nb1 0.000 0.000 0.000
S1 0.000 0.000 0.500
Cl1 0.000 0.500 0.000
Cl2 0.500 0.000 0.000
F1 0.500 0.500 0.500



Material: NiAu3Cl
Method: DFT, PBE-GGA
State: optimized geometry

SG = Pm-3m, No. 221
Volume = 116.1 Å³/cell
ΔE_f (raw) = 1303.5 meV per atom
Polymorph energy (0 for the lowest one) = 0.583 eV/atom

a b c (Å): 4.879 4.879 4.879
angles (deg): 90.00 90.00 90.00
Element x y z (fractional)
Ni1 0.000 0.000 0.000
Au1 0.000 0.500 0.500
Au2 0.500 0.000 0.500
Au3 0.500 0.500 0.000
Cl1 0.500 0.500 0.500



Material: TaAl2Co2
Method: DFT, PBE-GGA
State: optimized geometry

SG = P4/mbm, No. 127
Volume = 133.4 Å³/cell
Formation energy from the elements = -0.294 eV per atom
Polymorph energy (0 for the lowest one) = 0.014 eV/atom

a b c (Å): 7.074 7.074 2.665
angles (deg): 90.00 90.00 90.00
Element x y z (fractional)
Ta1 0.000 0.000 0.000
Ta2 0.500 0.500 0.000
Al1 0.128 0.372 0.000
Al2 0.372 0.872 0.000
Al3 0.628 0.128 0.000
Al4 0.872 0.628 0.000
Co1 0.169 0.669 0.500
Co2 0.331 0.169 0.500
Co3 0.669 0.831 0.500
Co4 0.831 0.331 0.500



Material: MgSbO3
Method: DFT, PBE-GGA
State: optimized geometry

SG = Pm-3m, No. 221
Volume = 57.1 Å³/cell
ΔE_f (raw) = -1029.0 meV per atom

a b c (Å): 3.851 3.851 3.851
angles (deg): 90.00 90.00 90.00
Element x y z (fractional)
Mg1 0.000 0.000 0.000
Sb1 0.500 0.500 0.500
O1 0.000 0.000 0.500
O2 0.000 0.500 0.000
O3 0.500 0.000 0.000



Material: La12SmTm7
Method: DFT, PBE-GGA
State: optimized geometry

SG = R-3, No. 148
Volume = 690.0 Å³/cell
Formation energy from the elements = 0.195 eV per atom
Polymorph energy (0 for the lowest one) = 0.000 eV/atom

a b c (Å): 8.837 8.837 8.837
angles (deg): 89.42 89.42 89.42
Element x y z (fractional)
La1 0.018 0.355 0.891
La2 0.109 0.982 0.645
La3 0.218 0.766 0.353
La4 0.234 0.647 0.782
La5 0.353 0.218 0.766
La6 0.355 0.891 0.018
La7 0.645 0.109 0.982
La8 0.647 0.782 0.234
La9 0.766 0.353 0.218
La10 0.782 0.234 0.647
La11 0.891 0.018 0.355
La12 0.982 0.645 0.109
Sm1 0.500 0.500 0.500
Tm1 0.000 0.000 0.000
Tm2 0.124 0.358 0.440
Tm3 0.358 0.440 0.124
Tm4 0.440 0.124 0.358
Tm5 0.560 0.876 0.642
Tm6 0.642 0.560 0.876
Tm7 0.876 0.642 0.560



Material: AcHoCdSn
Method: DFT, PBE-GGA
State: optimized geometry

SG = F-43m, No. 216
Volume = 119.8 Å³/cell
Formation energy from the elements = -0.434 eV per atom

a b c (Å): 5.533 5.533 5.533
angles (deg): 60.00 60.00 60.00
Element x y z (fractional)
Ac1 0.000 0.000 0.000
Ho1 0.500 0.500 0.500
Cd1 0.250 0.250 0.250
Sn1 0.750 0.750 0.750



Material: Gd2DyN
Method: DFT, PBE-GGA
State: optimized geometry

SG = R-3m, No. 166
Volume = 100.8 Å³/cell
ΔE_f (raw) = -641.0 meV per atom

a b c (Å): 9.724 9.724 9.724
angles (deg): 20.73 20.73 20.73
Element x y z (fractional)
Gd1 0.119 0.119 0.119
Gd2 0.881 0.881 0.881
Dy1 0.000 0.000 0.000
N1 0.500 0.500 0.500



Material: Zr2AsRu
Method: DFT, PBE-GGA
State: optimized geometry

SG = F-43m, No. 216
Volume = 71.7 Å³/cell
Formation energy from the elements = -0.149 eV per atom

a b c (Å): 4.663 4.663 4.663
angles (deg): 60.00 60.00 60.00
Element x y z (fractional)
Zr1 0.000 0.000 0.000
Zr2 0.250 0.250 0.250
As1 0.750 0.750 0.750
Ru1 0.500 0.500 0.500



Material: Mn2Sb
Method: DFT, PBE-GGA
State: optimized geometry

SG = P6_3/mmc, No. 194
Volume = 97.9 Å³/cell
ΔE_f (raw) = 214.8 meV per atom

a b c (Å): 4.537 4.537 5.491
angles (deg): 90.00 90.00 120.00
Element x y z (fractional)
Mn1 0.000 0.000 0.000
Mn2 0.000 0.000 0.500
Mn3 0.333 0.667 0.250
Mn4 0.667 0.333 0.750
Sb1 0.333 0.667 0.750
Sb2 0.667 0.333 0.250



Material: K2TeRu
Method: DFT, PBE-GGA
State: optimized geometry

SG = Cmmm, No. 65
Volume = 122.1 Å³/cell
ΔE_f (raw) = 396.2 meV per atom

a b c (Å): 5.412 5.412 4.703
angles (deg): 90.00 90.00 117.59
Element x y z (fractional)
K1 0.000 0.500 0.000
K2 0.500 0.000 0.000
Te1 0.000 0.000 0.500
Ru1 0.500 0.500 0.500



Material: LaCdHg4
Method: DFT, PBE-GGA
State: optimized geometry

SG = P2/m, No. 10
Volume = 154.9 Å³/cell
Formation energy from the elements = -0.212 eV per atom
Polymorph energy (0 for the lowest one) = 0.063 eV/atom

a b c (Å): 3.830 3.913 10.338
angles (deg): 90.00 90.26 90.00
Element x y z (fractional)
La1 0.000 0.000 0.000
Cd1 0.500 0.500 0.500
Hg1 0.003 0.000 0.344
Hg2 0.496 0.500 0.813
Hg3 0.504 0.500 0.187
Hg4 0.997 0.000 0.656



Material: Pm7AlS5
Method: DFT, PBE-GGA
State: optimized geometry

SG = P2_1/m, No. 11
Volume = 653.2 Å³/cell
ΔE_f (raw) = -1625.3 meV per atom

a b c (Å): 4.024 24.182 7.005
angles (deg): 90.00 106.63 90.00
Element x y z (fractional)
Pm1 0.024 0.250 0.047
Pm2 0.136 0.536 0.273
Pm3 0.136 0.964 0.273
Pm4 0.319 0.174 0.639
Pm5 0.319 0.326 0.639
Pm6 0.409 0.610 0.818
Pm7 0.409 0.890 0.818
Pm8 0.591 0.110 0.182
Pm9 0.591 0.390 0.182
Pm10 0.681 0.674 0.361
Pm11 0.681 0.826 0.361
Pm12 0.864 0.036 0.727
Pm13 0.864 0.464 0.727
Pm14 0.976 0.750 0.953
Al1 0.303 0.750 0.608
Al2 0.697 0.250 0.392
S1 0.046 0.641 0.092
S2 0.046 0.859 0.092
S3 0.226 0.071 0.452
S4 0.226 0.429 0.452
S5 0.500 0.000 0.000
S6 0.500 0.500 0.000
S7 0.774 0.571 0.548
S8 0.774 0.929 0.548
S9 0.954 0.141 0.908
S10 0.954 0.359 0.908



Material: ScGa3I6
Method: DFT, PBE-GGA
State: optimized geometry

SG = P2_1/c, No. 14
Volume = 768.1 Å³/cell
ΔE_f (raw) = -681.2 meV per atom

a b c (Å): 7.708 8.724 13.404
angles (deg): 90.00 121.56 90.00
Element x y z (fractional)
Sc1 0.000 0.000 0.000
Sc2 0.000 0.500 0.500
Ga1 0.321 0.104 0.800
Ga2 0.321 0.396 0.300
Ga3 0.500 0.000 0.500
Ga4 0.500 0.500 0.000
Ga5 0.679 0.604 0.700
Ga6 0.679 0.896 0.200
I1 0.094 0.057 0.237
I2 0.094 0.443 0.737
I3 0.239 0.718 0.078
I4 0.239 0.782 0.578
I5 0.360 0.170 0.048
I6 0.360 0.330 0.548
I7 0.640 0.670 0.452
I8 0.640 0.830 0.952
I9 0.761 0.218 0.422
I10 0.761 0.282 0.922
I11 0.906 0.557 0.263
I12 0.906 0.943 0.763



Material: Ac2UBiO8
Method: DFT, PBE-GGA
State: optimized geometry

SG = P-1, No. 2
Volume = 186.1 Å³/cell
ΔE_f (raw) = -2707.7 meV per atom

a b c (Å): 3.945 5.726 8.283
angles (deg): 84.76 89.46 87.22
Element x y z (fractional)
Ac1 0.007 0.017 0.253
Ac2 0.993 0.983 0.747
U1 0.500 0.500 0.500
Bi1 0.500 0.500 0.000
O1 0.002 0.270 0.972
O2 0.038 0.714 0.518
O3 0.474 0.255 0.690
O4 0.485 0.296 0.250
O5 0.515 0.704 0.750
O6 0.526 0.745 0.310
O7 0.962 0.286 0.482
O8 0.998 0.730 0.028



Material: Pm2Np2Te7
Method: DFT, PBE-GGA
State: optimized geometry

SG = Cmmm, No. 65
Volume = 416.9 Å³/cell
ΔE_f (raw) = -745.5 meV per atom

a b c (Å): 7.467 7.467 7.515
angles (deg): 90.00 90.00 95.70
Element x y z (fractional)
Pm1 0.227 0.227 0.000
Pm2 0.773 0.773 0.000
Np1 0.233 0.767 0.500
Np2 0.767 0.233 0.500
Te1 0.000 0.000 0.266
Te2 0.000 0.000 0.734
Te3 0.000 0.500 0.241
Te4 0.000 0.500 0.759
Te5 0.500 0.000 0.241
Te6 0.500 0.000 0.759
Te7 0.500 0.500 0.500



Material: Cs2YBr
Method: DFT, PBE-GGA
State: optimized geometry

SG = I-42d, No. 122
Volume = 520.2 Å³/cell
ΔE_f (raw) = -183.8 meV per atom
Polymorph energy (0 for the lowest one) = 0.000 eV/atom

a b c (Å): 10.016 10.016 10.016
angles (deg): 94.53 94.53 147.35
Element x y z (fractional)
Cs1 0.375 0.232 0.357
Cs2 0.768 0.125 0.143
Cs3 0.875 0.018 0.643
Cs4 0.982 0.625 0.857
Y1 0.250 0.750 0.500
Y2 0.500 0.500 0.000
Br1 0.000 0.000 0.000
Br2 0.750 0.250 0.500



Material: CsRb2Au2I6
Method: DFT, PBE-GGA
State: optimized geometry

SG = C2/m, No. 12
Volume = 563.5 Å³/cell
ΔE_f (raw) = -803.9 meV per atom

a b c (Å): 7.574 7.574 11.555
angles (deg): 106.45 106.45 64.43
Element x y z (fractional)
Cs1 0.000 0.000 0.000
Rb1 0.186 0.186 0.646
Rb2 0.814 0.814 0.354
Au1 0.466 0.466 0.200
Au2 0.534 0.534 0.800
I1 0.161 0.700 0.670
I2 0.300 0.300 0.990
I3 0.300 0.839 0.330
I4 0.700 0.161 0.670
I5 0.700 0.700 0.010
I6 0.839 0.300 0.330



Material: RbSnBr2
Method: DFT, PBE-GGA
State: optimized geometry

SG = I-42d, No. 122
Volume = 383.7 Å³/cell
ΔE_f (raw) = -772.4 meV per atom
Polymorph energy (0 for the lowest one) = 0.068 eV/atom

a b c (Å): 10.160 10.160 10.160
angles (deg): 142.64 142.64 53.87
Element x y z (fractional)
Rb1 0.000 0.000 0.000
Rb2 0.750 0.250 0.500
Sn1 0.250 0.750 0.500
Sn2 0.500 0.500 0.000
Br1 0.183 0.625 0.058
Br2 0.375 0.433 0.558
Br3 0.567 0.125 0.942
Br4 0.875 0.817 0.442



Material: NdEr4Tm2Th
Method: DFT, PBE-GGA
State: optimized geometry

SG = Imma, No. 74
Volume = 520.4 Å³/cell
Formation energy from the elements = 0.450 eV per atom

a b c (Å): 9.444 9.444 9.444
angles (deg): 138.24 103.31 91.36
Element x y z (fractional)
Nd1 0.500 0.000 0.000
Nd2 0.500 0.500 0.500
Er1 0.244 0.747 0.497
Er2 0.246 0.242 0.497
Er3 0.246 0.749 0.003
Er4 0.250 0.253 0.997
Er5 0.750 0.747 0.003
Er6 0.754 0.251 0.997
Er7 0.754 0.758 0.503
Er8 0.756 0.253 0.503
Tm1 0.000 0.000 0.500
Tm2 0.000 0.500 0.000
Tm3 0.000 0.500 0.500
Tm4 0.500 0.500 0.000
Th1 0.000 0.000 0.000
Th2 0.500 0.000 0.500



Material: LaGdCdHg
Method: DFT, PBE-GGA
State: optimized geometry

SG = F-43m, No. 216
Volume = 114.0 Å³/cell
Formation energy from the elements = -0.412 eV per atom

a b c (Å): 5.443 5.443 5.443
angles (deg): 60.00 60.00 60.00
Element x y z (fractional)
La1 0.000 0.000 0.000
Gd1 0.500 0.500 0.500
Cd1 0.250 0.250 0.250
Hg1 0.750 0.750 0.750



Material: ErMg4Cu2
Method: DFT, PBE-GGA
State: optimized geometry

SG = Cmmm, No. 65
Volume = 142.5 Å³/cell
Formation energy from the elements = -0.086 eV per atom

a b c (Å): 8.461 8.461 4.161
angles (deg): 90.00 90.00 151.42
Element x y z (fractional)
Er1 0.000 0.000 0.000
Mg1 0.174 0.826 0.500
Mg2 0.326 0.674 0.000
Mg3 0.674 0.326 0.000
Mg4 0.826 0.174 0.500
Cu1 0.428 0.572 0.500
Cu2 0.572 0.428 0.500



Material: Sm2HfIn
Method: DFT, PBE-GGA
State: optimized geometry

SG = P4/mmm, No. 123
Volume = 110.6 Å³/cell
Formation energy from the elements = -0.110 eV per atom
Polymorph energy (0 for the lowest one) = 0.001 eV/atom

a b c (Å): 3.380 3.380 9.682
angles (deg): 90.00 90.00 90.00
Element x y z (fractional)
Sm1 0.000 0.000 0.250
Sm2 0.000 0.000 0.750
Hf1 0.500 0.500 0.000
In1 0.500 0.500 0.500